A relaxed PmGdCdSn crystal. Source: Alexandria, functional GGA-PBE.

a b c (Å): 5.377 5.377 5.377
angles (deg): 60.00 60.00 60.00
Fractional coordinates of all 4 atoms:
1 Gd 0.750 0.750 0.750
2 Sn 0.000 0.000 0.000
3 Cd 0.500 0.500 0.500
4 Pm 0.250 0.250 0.250

Values from the calculation:
**Total energy**: -6.47 eV per atom
**Symmetry**: F-43m, No. 216
**Magnetic moment**: 7.35 μB/cell



A relaxed Sc3MoRu crystal. Source: Alexandria, functional GGA-PBE.

a b c (Å): 4.843 4.843 4.843
angles (deg): 90.00 90.00 90.00
Fractional coordinates of all 5 atoms:
1 Sc 0.000 0.500 0.000
2 Mo 0.500 0.500 0.500
3 Sc 0.500 0.000 0.000
4 Sc 0.000 0.000 0.500
5 Ru 0.000 0.000 0.000

Values from the calculation:
**Total energy**: -7.28 eV per atom
**Symmetry**: Pm-3m, No. 221
**Magnetic moment**: 0.00 μB/cell
**Offset from the most stable computed form**: 0.00 eV per formula unit



no.,calculated volume (Å³ per cell)
1,109.9
2,113.6